Record 1
CeAgH6Pt, optimized geometry, DFT PBE; DFT total energy = -36.41 eV/cell; density of states at the Fermi level = 5.19 states/eV/f.u.
1.0
4.827 0.000 0.000
2.414 4.181 0.000
0.000 0.000 4.460
Ce Ag H Pt
1 1 6 1
direct
0.000 0.000 0.000
0.667 0.667 0.500
0.030 0.485 0.222
0.030 0.485 0.778
0.485 0.030 0.778
0.485 0.030 0.222
0.485 0.485 0.222
0.485 0.485 0.778
0.333 0.333 0.500

***

Record 2
Rb2MgPd2, optimized geometry, DFT PBE; ΔE to the lowest computed polymorph = 0.217 eV per atom; density of states at the Fermi level = 3.66 states/eV/f.u.; E_form = 240 meV/atom
1.0
-3.121 -1.178 1.781
-0.312 -2.869 -2.443
4.939 -8.840 6.822
Rb Mg Pd
2 1 2
direct
0.633 0.633 0.734
0.367 0.367 0.266
0.000 0.000 0.000
0.750 0.250 0.500
0.250 0.750 0.500

***

Record 3
KAlTeI2, optimized geometry, DFT PBE; ΔE to the lowest computed polymorph = 0.000 eV per atom; density of states at the Fermi level = 3.85 states/eV/f.u.; formation energy (no corrections) = -0.60 eV/atom
1.0
5.853 0.000 0.000
0.000 5.853 0.000
0.000 0.000 5.389
I Te K Al
2 1 1 1
direct
0.000 0.500 0.000
0.500 0.000 0.000
0.000 0.000 0.500
0.500 0.500 0.500
0.000 0.000 0.000

***

Record 4
In3H12Rh5, optimized geometry, DFT PBE; DFT total energy = -333.42 eV/cell; density of states at the Fermi level = 4.05 states/eV/f.u.
1.0
9.968 0.000 0.000
-3.323 9.398 0.000
-3.323 -4.699 8.139
H In Rh
48 12 20
direct
0.313 0.498 0.420
0.580 0.002 0.687
0.107 0.920 0.422
0.580 0.578 0.393
0.920 0.813 0.498
0.607 0.685 0.687
0.002 0.580 0.187
0.687 0.502 0.580
0.422 0.420 0.107
0.578 0.998 0.185
0.920 0.107 0.922
0.685 0.078 0.998
0.498 0.185 0.078
0.185 0.498 0.578
0.185 0.687 0.107
0.002 0.422 0.315
0.607 0.922 0.420
0.078 0.685 0.498
0.422 0.002 0.815
0.813 0.893 0.315
0.315 0.922 0.002
0.393 0.315 0.313
0.420 0.422 0.607
0.107 0.187 0.185
0.393 0.078 0.580
0.187 0.080 0.002
0.893 0.080 0.578
0.080 0.187 0.502
0.080 0.893 0.078
0.502 0.815 0.922
0.315 0.393 0.813
0.815 0.313 0.893
0.078 0.393 0.080
0.998 0.420 0.813
0.420 0.998 0.313
0.893 0.813 0.815
0.687 0.185 0.607
0.313 0.815 0.393
0.998 0.578 0.685
0.922 0.607 0.920
0.685 0.607 0.187
0.578 0.580 0.893
0.498 0.313 0.920
0.813 0.920 0.998
0.815 0.502 0.422
0.502 0.687 0.080
0.187 0.107 0.685
0.922 0.315 0.502
0.625 0.375 0.750
0.625 0.250 0.375
0.875 0.750 0.125
0.750 0.375 0.125
0.375 0.750 0.625
0.125 0.250 0.875
0.875 0.125 0.250
0.375 0.625 0.250
0.125 0.875 0.750
0.250 0.625 0.875
0.750 0.875 0.625
0.250 0.125 0.375
0.500 0.500 0.500
0.250 0.875 0.125
0.375 0.125 0.750
0.875 0.625 0.750
0.875 0.250 0.625
0.750 0.625 0.375
0.125 0.375 0.250
0.500 0.000 0.000
0.750 0.125 0.875
0.000 0.500 0.500
0.000 0.000 0.000
0.250 0.375 0.625
0.375 0.250 0.125
0.500 0.500 0.000
0.625 0.750 0.875
0.500 0.000 0.500
0.125 0.750 0.375
0.000 0.500 0.000
0.625 0.875 0.250
0.000 0.000 0.500

***

Record 5
LaNdThTl, optimized geometry, DFT PBE; density of states at the Fermi level = 6.76 states/eV/f.u.; E_form = 21 meV/atom
1.0
-4.981 -1.193 -2.352
-0.728 -4.871 -2.741
-3.272 -4.019 2.216
La Th Nd Tl
1 1 1 1
direct
0.000 0.000 0.000
0.750 0.750 0.750
0.500 0.500 0.500
0.250 0.250 0.250

***

Record 6
LaSiSeN2, optimized geometry, DFT PBE; ΔE to the lowest computed polymorph = 0.000 eV per atom; density of states at the Fermi level = 1.21 states/eV/f.u.; formation energy (no corrections) = -0.26 eV/atom
1.0
-2.105 -1.059 3.164
1.728 -3.546 -0.037
3.519 1.684 2.905
N Se Si La
2 1 1 1
direct
0.000 0.500 0.000
0.500 0.000 0.000
0.000 0.000 0.500
0.000 0.000 0.000
0.500 0.500 0.500

***

Copy entry 2 word for word.
Rb2MgPd2, optimized geometry, DFT PBE; ΔE to the lowest computed polymorph = 0.217 eV per atom; density of states at the Fermi level = 3.66 states/eV/f.u.; E_form = 240 meV/atom
1.0
-3.121 -1.178 1.781
-0.312 -2.869 -2.443
4.939 -8.840 6.822
Rb Mg Pd
2 1 2
direct
0.633 0.633 0.734
0.367 0.367 0.266
0.000 0.000 0.000
0.750 0.250 0.500
0.250 0.750 0.500

***

- Which of these has the lowest density of states at the Fermi level?
  LaSiSeN2

***

- The lowest density of states at the Fermi level belongs to which entry?
  LaSiSeN2